## CrCdPb2 (PBEsol)

Data for a relaxed CrCdPb2 crystal.

abc: 3.4327 3.4327 27.9734
angles: 90.00 90.00 120.00
Space group R-3m (No. 166, hexagonal axes)
Symmetry-distinct sites (fractional):
1 Cr 0.0000 0.0000 0.0000 (multiplicity 3)
2 Cd 0.0000 0.0000 0.5000 (multiplicity 3)
3 Pb 0.0000 0.0000 0.2556 (multiplicity 6)

Total magnetization (μB per cell): 11.83
Final energy (eV/atom): -4.4027
DOS(E_F) (states/eV/f.u.): 1.9
V (Å³/cell): 285.5

---

## Sm2GaCo2 (PBEsol)

Data for a relaxed Sm2GaCo2 crystal.

abc: 4.0326 5.3665 8.4094
angles: 90.00 90.00 90.00
Space group Immm (No. 71)
Symmetry-distinct sites (fractional):
1 Sm 0.0000 0.0000 0.2054 (multiplicity 4)
2 Ga 0.0000 0.5000 0.0000 (multiplicity 2)
3 Co 0.0000 0.2833 0.5000 (multiplicity 4)

Total magnetization (μB per cell): 0.00
Final energy (eV/atom): -6.1451
DOS(E_F) (states/eV/f.u.): 4.7
V (Å³/cell): 182.0

---

## Mn21O40 (PBEsol)

Data for a relaxed Mn21O40 crystal.

abc: 12.7216 12.7216 8.0474
angles: 90.00 90.00 90.00
Space group I-4 (No. 82)
Symmetry-distinct sites (fractional):
1 Mn 0.0000 0.0000 0.0000 (multiplicity 2)
2 Mn 0.0008 0.7453 0.8747 (multiplicity 8)
3 Mn 0.0503 0.5988 0.1257 (multiplicity 8)
4 Mn 0.0507 0.1014 0.6198 (multiplicity 8)
5 Mn 0.1491 0.2998 0.6255 (multiplicity 8)
6 Mn 0.1523 0.7957 0.1257 (multiplicity 8)
7 O 0.0111 0.2444 0.6394 (multiplicity 8)
8 O 0.0124 0.7436 0.1102 (multiplicity 8)
9 O 0.0441 0.0884 0.3883 (multiplicity 8)
10 O 0.0448 0.5884 0.3605 (multiplicity 8)
11 O 0.0555 0.1110 0.8622 (multiplicity 8)
12 O 0.0558 0.6098 0.8890 (multiplicity 8)
13 O 0.1443 0.2890 0.8606 (multiplicity 8)
14 O 0.1441 0.7875 0.8901 (multiplicity 8)
15 O 0.1543 0.3104 0.3889 (multiplicity 8)
16 O 0.1561 0.8115 0.3608 (multiplicity 8)

Formation energy from raw total energies (eV/atom): -1.590
Total magnetization (μB per cell): 126.02
Final energy (eV/atom): -8.3923
DOS(E_F) (states/eV/f.u.): 7.4
V (Å³/cell): 1302.4

---

## LiGaRhCl2 (PBEsol)

Data for a relaxed LiGaRhCl2 crystal.

abc: 5.0787 5.0787 4.6560
angles: 90.00 90.00 90.00
Space group P4/mmm (No. 123)
Symmetry-distinct sites (fractional):
1 Li 0.0000 0.0000 0.0000 (multiplicity 1)
2 Ga 0.5000 0.5000 0.5000 (multiplicity 1)
3 Rh 0.5000 0.5000 0.0000 (multiplicity 1)
4 Cl 0.0000 0.5000 0.5000 (multiplicity 2)

Formation energy from raw total energies (eV/atom): 0.027
Total magnetization (μB per cell): 0.55
Final energy (eV/atom): -3.4649
DOS(E_F) (states/eV/f.u.): 4.1
V (Å³/cell): 120.1

---

## K2AlAu2 (PBEsol)

Data for a relaxed K2AlAu2 crystal.

abc: 4.3300 4.3300 14.3440
angles: 90.00 90.00 90.00
Space group I4/mmm (No. 139)
Symmetry-distinct sites (fractional):
1 K 0.0000 0.5000 0.2500 (multiplicity 4)
2 Al 0.0000 0.0000 0.0000 (multiplicity 2)
3 Au 0.0000 0.0000 0.4093 (multiplicity 4)

Total magnetization (μB per cell): 0.00
Final energy (eV/atom): -2.4767
DOS(E_F) (states/eV/f.u.): 1.8
V (Å³/cell): 268.9

---

## Sn2Pb2N (PBEsol)

Data for a relaxed Sn2Pb2N crystal.

abc: 4.3014 4.3014 15.3110
angles: 90.00 90.00 90.00
Space group I4/mmm (No. 139)
Symmetry-distinct sites (fractional):
1 Sn 0.0000 0.0000 0.0925 (multiplicity 4)
2 Pb 0.0000 0.5000 0.2500 (multiplicity 4)
3 N 0.0000 0.0000 0.5000 (multiplicity 2)

Formation energy from raw total energies (eV/atom): 1.153
Total magnetization (μB per cell): 3.38
Final energy (eV/atom): -3.8554
DOS(E_F) (states/eV/f.u.): 2.6
V (Å³/cell): 283.3

---

## LiTiCo2Rh (PBEsol)

Data for a relaxed LiTiCo2Rh crystal.

abc: 4.0490 4.0490 4.2494
angles: 90.00 90.00 90.00
Space group P4/mmm (No. 123)
Symmetry-distinct sites (fractional):
1 Li 0.0000 0.0000 0.0000 (multiplicity 1)
2 Ti 0.0000 0.0000 0.5000 (multiplicity 1)
3 Co 0.0000 0.5000 0.5000 (multiplicity 2)
4 Rh 0.5000 0.5000 0.0000 (multiplicity 1)

Total magnetization (μB per cell): 1.16
Final energy (eV/atom): -5.6857
DOS(E_F) (states/eV/f.u.): 5.9
V (Å³/cell): 69.7

---

## HfGe2AuCl (PBEsol)

Data for a relaxed HfGe2AuCl crystal.

abc: 4.7645 4.7645 4.6416
angles: 90.00 90.00 90.00
Space group P4/mmm (No. 123)
Symmetry-distinct sites (fractional):
1 Hf 0.0000 0.0000 0.0000 (multiplicity 1)
2 Ge 0.0000 0.5000 0.5000 (multiplicity 2)
3 Au 0.5000 0.5000 0.0000 (multiplicity 1)
4 Cl 0.5000 0.5000 0.5000 (multiplicity 1)

Formation energy from raw total energies (eV/atom): 0.770
Total magnetization (μB per cell): 0.00
Final energy (eV/atom): -4.4921
DOS(E_F) (states/eV/f.u.): 2.5
V (Å³/cell): 105.4

---

## CaTaBr4 (PBEsol)

Data for a relaxed CaTaBr4 crystal.

abc: 8.6873 8.6873 8.6873
angles: 90.00 90.00 90.00
Space group F-43m (No. 216)
Symmetry-distinct sites (fractional):
1 Ca 0.0000 0.0000 0.0000 (multiplicity 4)
2 Ta 0.2500 0.2500 0.2500 (multiplicity 4)
3 Br 0.1247 0.1247 0.6247 (multiplicity 16)

Formation energy from raw total energies (eV/atom): 0.654
Total magnetization (μB per cell): 18.55
Final energy (eV/atom): -3.0402
DOS(E_F) (states/eV/f.u.): 8.7
V (Å³/cell): 655.6

---

## YAgIr (PBEsol)

Data for a relaxed YAgIr crystal.

abc: 3.5074 3.5074 9.1733
angles: 90.00 90.00 90.00
Space group I4mm (No. 107)
Symmetry-distinct sites (fractional):
1 Y 0.0000 0.0000 0.0000 (multiplicity 2)
2 Ag 0.0000 0.0000 0.6842 (multiplicity 2)
3 Ir 0.0000 0.0000 0.3419 (multiplicity 2)

Total magnetization (μB per cell): 0.00
Final energy (eV/atom): -6.8930
Energy above the most stable polymorph in this dataset (meV per atom): 0
DOS(E_F) (states/eV/f.u.): 2.2
V (Å³/cell): 112.8

---

## In6Ge2IrO8 (PBEsol)

Data for a relaxed In6Ge2IrO8 crystal.

abc: 10.1201 10.1201 10.1201
angles: 90.00 90.00 90.00
Space group Fm-3m (No. 225)
Symmetry-distinct sites (fractional):
1 In 0.0000 0.0000 0.2502 (multiplicity 24)
2 Ge 0.2500 0.2500 0.2500 (multiplicity 8)
3 Ir 0.0000 0.0000 0.0000 (multiplicity 4)
4 O 0.1465 0.1465 0.3535 (multiplicity 32)

Formation energy from raw total energies (eV/atom): -1.271
Total magnetization (μB per cell): 0.00
Final energy (eV/atom): -5.9528
DOS(E_F) (states/eV/f.u.): 2.6
V (Å³/cell): 1036.5

---

## BaSrMo2 (PBEsol)

Data for a relaxed BaSrMo2 crystal.

abc: 3.5773 4.9374 6.8549
angles: 90.00 90.00 90.00
Space group Pmmm (No. 47)
Symmetry-distinct sites (fractional):
1 Ba 0.0000 0.0000 0.0000 (multiplicity 1)
2 Sr 0.0000 0.0000 0.5000 (multiplicity 1)
3 Mo 0.5000 0.5000 0.3490 (multiplicity 2)

Total magnetization (μB per cell): 0.00
Final energy (eV/atom): -5.7607
Energy above the most stable polymorph in this dataset (meV per atom): 341
DOS(E_F) (states/eV/f.u.): 4.1
V (Å³/cell): 121.1